Record 1
Crystalline InP3O at its relaxed geometry, computed with PBE.

Structure (CIF):
```
data_InP3O
_chemical_formula_sum 'In1 P3 O1'
_cell_length_a 5.063
_cell_length_b 5.063
_cell_length_c 5.063
_cell_angle_alpha 90.00
_cell_angle_beta 90.00
_cell_angle_gamma 90.00
_space_group_name_H-M_alt 'P m -3 m'
_space_group_IT_number 221
_space_group_name_Hall '-P 4 2 3'
loop_
_atom_site_label
_atom_site_type_symbol
_atom_site_fract_x
_atom_site_fract_y
_atom_site_fract_z
In1 In 0.000 0.000 0.000
P1 P 0.000 0.000 0.500
O1 O 0.500 0.500 0.500
```

Computed properties:
* energy above the lowest structure with this stoichiometry: 1237 meV/atom
* crystal system: cubic

***

Record 2
Crystalline CaAs2Br8 at its relaxed geometry, computed with PBE.

Structure (CIF):
```
data_CaAs2Br8
_chemical_formula_sum 'Ca2 As4 Br16'
_cell_length_a 10.841
_cell_length_b 11.971
_cell_length_c 7.500
_cell_angle_alpha 90.00
_cell_angle_beta 99.70
_cell_angle_gamma 90.00
_space_group_name_H-M_alt 'C 1 2/m 1'
_space_group_IT_number 12
_space_group_name_Hall '-C 2y'
loop_
_atom_site_label
_atom_site_type_symbol
_atom_site_fract_x
_atom_site_fract_y
_atom_site_fract_z
Ca1 Ca 0.000 0.000 0.000
As1 As 0.189 0.000 0.597
Br1 Br 0.100 0.500 0.271
Br2 Br 0.110 0.162 0.772
Br3 Br 0.235 0.000 0.249
```

Computed properties:
* crystal system: monoclinic
* final energy: -3.038 eV per atom

***

Record 3
Crystalline FePd2Rh at its relaxed geometry, computed with PBE.

Structure (CIF):
```
data_FePd2Rh
_chemical_formula_sum 'Fe1 Pd2 Rh1'
_cell_length_a 2.730
_cell_length_b 2.730
_cell_length_c 7.750
_cell_angle_alpha 90.00
_cell_angle_beta 90.00
_cell_angle_gamma 90.00
_space_group_name_H-M_alt 'P 4/m m m'
_space_group_IT_number 123
_space_group_name_Hall '-P 4 2'
loop_
_atom_site_label
_atom_site_type_symbol
_atom_site_fract_x
_atom_site_fract_y
_atom_site_fract_z
Fe1 Fe 0.000 0.000 0.000
Pd1 Pd 0.500 0.500 0.237
Rh1 Rh 0.000 0.000 0.500
```

Computed properties:
* energy above the lowest structure with this stoichiometry: 49 meV/atom
* crystal system: tetragonal
* energy of formation from the pure elements: 0.02 eV/atom

***

Record 4
Crystalline Nd5Tm4In4 at its relaxed geometry, computed with PBE.

Structure (CIF):
```
data_Nd5Tm4In4
_chemical_formula_sum 'Nd10 Tm8 In8'
_cell_length_a 12.548
_cell_length_b 12.548
_cell_length_c 5.041
_cell_angle_alpha 90.00
_cell_angle_beta 90.00
_cell_angle_gamma 90.00
_space_group_name_H-M_alt 'I 4/m'
_space_group_IT_number 87
_space_group_name_Hall '-I 4'
loop_
_atom_site_label
_atom_site_type_symbol
_atom_site_fract_x
_atom_site_fract_y
_atom_site_fract_z
Nd1 Nd 0.000 0.000 0.000
Nd2 Nd 0.102 0.807 0.500
Tm1 Tm 0.095 0.601 0.000
In1 In 0.098 0.240 0.000
```

Computed properties:
* crystal system: tetragonal
* energy of formation from the pure elements: -0.30 eV/atom

***

no.,size of the total moment (Bohr magnetons per cell)
1,2.73
2,0.00
3,4.79
4,0.00